Record 1
! Y2MgFeI, relaxed, DFT PBE; values from VASP
&SYSTEM
  ibrav = 0, nat = 5, ntyp = 4
/
ATOMIC_SPECIES
Y 88.91 Y.upf
Fe 55.84 Fe.upf
I 126.90 I.upf
Mg 24.30 Mg.upf
ATOMIC_POSITIONS crystal
Y 0.5000 0.0000 0.0000
Fe 0.5000 0.5000 0.5000
I 0.0000 0.0000 0.0000
Mg 0.0000 0.5000 0.0000
Y 0.0000 0.0000 0.5000
CELL_PARAMETERS angstrom
-0.9181 -1.2853 -5.3763
-2.3104 -4.4611 1.4611
-4.9430 2.6305 0.2152
! Fermi-level density of states in states/eV/cell: 8.6
! Final energy in eV/atom: -4.0270
! Energy relative to the elements, uncorrected in eV per atom: 0.880

=====

Record 2
! ReHPt2, relaxed, DFT PBE; values from VASP
&SYSTEM
  ibrav = 0, nat = 4, ntyp = 3
/
ATOMIC_SPECIES
H 1.01 H.upf
Pt 195.08 Pt.upf
Re 186.21 Re.upf
ATOMIC_POSITIONS crystal
H 0.0000 0.0000 0.0000
Pt 0.7500 0.7500 0.7500
Re 0.5000 0.5000 0.5000
Pt 0.2500 0.2500 0.2500
CELL_PARAMETERS angstrom
0.0000 3.0347 3.0347
3.0347 0.0000 3.0347
3.0347 3.0347 0.0000
! Fermi-level density of states in states/eV/cell: 4.4
! Final energy in eV/atom: -6.1736

=====

Record 3
! PuScN, relaxed, DFT PBE; values from VASP
&SYSTEM
  ibrav = 0, nat = 3, ntyp = 3
/
ATOMIC_SPECIES
Pu 244.00 Pu.upf
N 14.01 N.upf
Sc 44.96 Sc.upf
ATOMIC_POSITIONS crystal
Pu 0.3245 0.3245 0.6490
N 0.6215 0.6215 0.2430
Sc 0.9040 0.9040 0.8081
CELL_PARAMETERS angstrom
4.1271 0.0000 0.0000
0.0000 4.1271 0.0000
-2.0635 -2.0635 3.5597
! Fermi-level density of states in states/eV/cell: 5.7
! Final energy in eV/atom: -9.4719
! Energy relative to the elements, uncorrected in eV per atom: 0.191

=====

| no. | total magnetization (μB/atom) |
| --- | --- |
| 1 | 0.525 |
| 2 | 0.333 |
| 3 | 2.140 |